Entry from the Open Quantum Materials Database: an optimized crystal structure of Y2HoIn3Pd3 (PBE).

Summary:
symmetry: No. 38
theoretical density: 8.5 g/cm3
VASP energy: -48.67 eV per cell

Cell: 3.8295 7.7050 7.7050 Å, 119.82 90.00 90.00°
Element x y z (fractional)
Y1 0.0000 0.2040 0.7960
Y2 0.0000 0.7960 0.2040
Ho1 0.0000 0.3873 0.3873
In1 0.5000 0.0543 0.0543
In2 0.5000 0.5359 0.7966
In3 0.5000 0.7966 0.5359
Pd1 0.0000 0.7933 0.7933
Pd2 0.5000 0.1319 0.4617
Pd3 0.5000 0.4617 0.1319